<a>
LiSmC, optimized geometry, DFT PBE; crystal system = monoclinic; Fermi-level density of states = 2.48 states/eV/f.u.
1.0
-1.8660 -3.2224 0.2556
1.8279 -3.1570 0.7874
-5.0004 -0.7336 8.7018
Li C Sm
2 2 2
Direct
0.9448 0.7816 0.6496
0.4368 0.5349 0.7816
0.7661 0.3712 0.5336
0.9509 0.2773 0.8968
0.5824 0.9633 0.4210
0.4570 0.0241 0.0171

---

<b>
LiSmC, optimized geometry, DFT PBE; crystal system = monoclinic; Fermi-level density of states = 1.37 states/eV/f.u.
1.0
-2.9234 -2.0822 -0.0045
2.0595 0.1834 3.7717
-5.2417 7.3587 1.1721
Li C Sm
2 2 2
Direct
0.5958 0.2809 0.8188
0.3273 0.7431 0.9593
0.5426 0.1738 0.4278
0.3804 0.8506 0.3503
0.8377 0.7646 0.5412
0.0853 0.2597 0.2370

---

<c>
LiSmC, optimized geometry, DFT PBE; crystal system = cubic
1.0
4.1212 0.0000 0.0000
2.0606 3.5691 0.0000
2.0606 1.1897 3.3649
Sm C Li
1 1 1
Direct
0.0000 0.0000 0.0000
0.2500 0.2500 0.2500
0.5000 0.5000 0.5000

---

Which structure is most stable? <b>, by 60 meV/atom over the runner-up.

---

<a>
Li3SnC, optimized geometry, DFT PBE; crystal system = cubic; Fermi-level density of states = 3.64 states/eV/f.u.
1.0
5.2052 0.0000 0.0000
0.0000 5.2052 0.0000
0.0000 0.0000 5.2052
Sn Li C
1 3 1
Direct
0.0000 0.0000 0.0000
0.0000 0.5000 0.0000
0.5000 0.0000 0.0000
0.0000 0.0000 0.5000
0.5000 0.5000 0.5000

---

<b>
Li3SnC, optimized geometry, DFT PBE; crystal system = cubic; Fermi-level density of states = 2.37 states/eV/f.u.
1.0
4.1724 0.0000 0.0000
0.0000 4.1724 0.0000
0.0000 0.0000 4.1724
C Li Sn
1 3 1
Direct
0.0000 0.0000 0.0000
0.0000 0.5000 0.0000
0.0000 0.0000 0.5000
0.5000 0.0000 0.0000
0.5000 0.5000 0.5000

---

Which structure is most stable? <b>, by 1001 meV/atom over the runner-up.

---

<a>
LiSnC3, optimized geometry, DFT PBE; crystal system = cubic; Fermi-level density of states = 3.11 states/eV/f.u.
1.0
3.8468 0.0000 0.0000
0.0000 3.8468 0.0000
0.0000 0.0000 3.8468
C Sn Li
3 1 1
Direct
0.0000 0.0000 0.5000
0.5000 0.0000 0.0000
0.0000 0.5000 0.0000
0.5000 0.5000 0.5000
0.0000 0.0000 0.0000

---

<b>
LiSnC3, optimized geometry, DFT PBE; crystal system = cubic; Fermi-level density of states = 3.76 states/eV/f.u.
1.0
4.3470 0.0000 0.0000
0.0000 4.3470 0.0000
0.0000 0.0000 4.3470
C Sn Li
3 1 1
Direct
0.5000 0.0000 0.0000
0.0000 0.5000 0.0000
0.0000 0.0000 0.5000
0.0000 0.0000 0.0000
0.5000 0.5000 0.5000

---

Which structure is most stable? <a>, by 40 meV/atom over the runner-up.

---

<a>
SrLi2C2, optimized geometry, DFT PBE; crystal system = tetragonal; Fermi-level density of states = 2.08 states/eV/f.u.
1.0
3.8723 0.0000 0.0000
0.0000 3.8723 0.0000
1.9362 1.9362 4.2926
Li C Sr
2 2 1
Direct
0.7500 0.2500 0.5000
0.2500 0.7500 0.5000
0.5815 0.5815 0.8370
0.4185 0.4185 0.1630
0.0000 0.0000 0.0000

---

<b>
SrLi2C2, optimized geometry, DFT PBE; crystal system = tetragonal; Fermi-level density of states = 0.00 states/eV/f.u.
1.0
-0.3428 6.2882 1.1311
-6.1778 -0.0373 -1.6649
-1.0513 -0.7621 3.9182
Li C Sr
4 4 2
Direct
0.6293 0.8707 0.5000
0.1293 0.6293 0.5000
0.3707 0.1293 0.5000
0.8707 0.3707 0.5000
0.9282 0.5718 0.0000
0.0718 0.4282 0.0000
0.4282 0.9282 0.0000
0.5718 0.0718 0.0000
0.0000 0.0000 0.0000
0.5000 0.5000 0.0000

---

Which structure is most stable? <b>, by 96 meV/atom over the runner-up.

---

<a>
LiTaC3, optimized geometry, DFT PBE; crystal system = cubic; Fermi-level density of states = 2.82 states/eV/f.u.
1.0
3.5477 0.0000 0.0000
0.0000 3.5477 0.0000
0.0000 0.0000 3.5477
C Ta Li
3 1 1
Direct
0.0000 0.5000 0.0000
0.5000 0.0000 0.0000
0.0000 0.0000 0.5000
0.5000 0.5000 0.5000
0.0000 0.0000 0.0000

---

<b>
LiTaC3, optimized geometry, DFT PBE; crystal system = cubic; Fermi-level density of states = 1.77 states/eV/f.u.
1.0
4.1973 0.0000 0.0000
0.0000 4.1973 0.0000
0.0000 0.0000 4.1973
C Ta Li
3 1 1
Direct
0.0000 0.5000 0.0000
0.5000 0.0000 0.0000
0.0000 0.0000 0.5000
0.0000 0.0000 0.0000
0.5000 0.5000 0.5000

---

Which structure is most stable? <b>, by 574 meV/atom over the runner-up.

---

<a>
LiTb2C, optimized geometry, DFT PBE; crystal system = tetragonal; Fermi-level density of states = 2.52 states/eV/f.u.
1.0
-2.5819 -1.8250 0.6126
1.6880 -2.6389 -0.7474
2.2684 -0.6817 7.5303
C Tb Li
1 2 1
Direct
0.5000 0.5000 0.7500
0.0000 0.0000 0.9245
0.0000 0.0000 0.5755
0.5000 0.5000 0.2500

---

<b>
LiTb2C, optimized geometry, DFT PBE; crystal system = trigonal; Fermi-level density of states = 3.02 states/eV/f.u.
1.0
3.5459 0.0000 0.0000
1.7729 3.0708 0.0000
1.7729 1.0236 8.8859
Tb C Li
2 1 1
Direct
0.2819 0.2819 0.1542
0.0513 0.0513 0.8461
0.6663 0.6663 0.0012
0.5005 0.5005 0.4985

---

Which structure is most stable? <b>, by 408 meV/atom over the runner-up.